# 1
Computed, not measured: a geometry-optimized TiCdSn2 structure at the PBE level of DFT.

Properties
ΔH_f (0 K)	0.258	eV per atom
final energy	-3.9460	eV/atom
spin magnetization	0.0	μB per formula unit
density of states at the Fermi level	0.550	states/eV/atom

a b c (Å): 6.381 6.381 6.381
angles (deg): 103.40 103.40 122.44
Atoms (fractional coordinates):
1 Ti 0.000 0.000 0.000
2 Ti 0.750 0.250 0.500
3 Cd 0.250 0.750 0.500
4 Cd 0.500 0.500 0.000
5 Sn 0.119 0.625 0.994
6 Sn 0.375 0.369 0.494
7 Sn 0.631 0.125 0.006
8 Sn 0.875 0.881 0.506



# 2
Computed, not measured: a geometry-optimized LiAcErIn structure at the PBE level of DFT.

Properties
ΔH_f (0 K)	0.013	eV per atom
final energy	-3.3176	eV/atom
spin magnetization	0.0	μB per formula unit
density of states at the Fermi level	0.939	states/eV/atom

a b c (Å): 5.481 5.481 5.481
angles (deg): 60.00 60.00 60.00
Atoms (fractional coordinates):
1 Li 0.000 0.000 0.000
2 Ac 0.750 0.750 0.750
3 Er 0.500 0.500 0.500
4 In 0.250 0.250 0.250



# 3
Computed, not measured: a geometry-optimized TmInAu structure at the PBE level of DFT.

Properties
ΔH_f (0 K)	-0.727	eV per atom
final energy	-4.2224	eV/atom
spin magnetization	0.0	μB per formula unit
density of states at the Fermi level	0.368	states/eV/atom

a b c (Å): 7.680 7.680 3.988
angles (deg): 90.00 90.00 120.00
Atoms (fractional coordinates):
1 Tm 0.000 0.406 0.000
2 Tm 0.406 0.000 0.000
3 Tm 0.594 0.594 0.000
4 In 0.000 0.739 0.500
5 In 0.261 0.261 0.500
6 In 0.739 0.000 0.500
7 Au 0.000 0.000 0.000
8 Au 0.333 0.667 0.500
9 Au 0.667 0.333 0.500



# 4
Computed, not measured: a geometry-optimized Li4YGa4 structure at the PBE level of DFT.

Properties
ΔH_f (0 K)	-0.269	eV per atom
final energy	-3.1827	eV/atom
spin magnetization	0.0	μB per formula unit
density of states at the Fermi level	0.301	states/eV/atom

a b c (Å): 5.862 5.862 9.223
angles (deg): 90.00 90.00 90.00
Atoms (fractional coordinates):
1 Li 0.025 0.250 0.172
2 Li 0.250 0.025 0.672
3 Li 0.250 0.475 0.672
4 Li 0.475 0.250 0.172
5 Li 0.525 0.750 0.828
6 Li 0.750 0.525 0.328
7 Li 0.750 0.975 0.328
8 Li 0.975 0.750 0.828
9 Y 0.250 0.750 0.250
10 Y 0.750 0.250 0.750
11 Ga 0.027 0.250 0.464
12 Ga 0.250 0.027 0.964
13 Ga 0.250 0.473 0.964
14 Ga 0.473 0.250 0.464
15 Ga 0.527 0.750 0.536
16 Ga 0.750 0.527 0.036
17 Ga 0.750 0.973 0.036
18 Ga 0.973 0.750 0.536



# 5
Computed, not measured: a geometry-optimized Rb2MoWI6 structure at the PBE level of DFT.

Properties
E_form (uncorrected)	-2.41	eV/f.u.
final energy	-3.7434	eV/atom
spin magnetization	8.0	μB per formula unit
density of states at the Fermi level	0.113	states/eV/atom

a b c (Å): 8.281 8.281 8.281
angles (deg): 120.04 120.04 89.93
Atoms (fractional coordinates):
1 Rb 0.250 0.750 0.500
2 Rb 0.750 0.250 0.500
3 Mo 0.000 0.000 0.000
4 W 0.500 0.500 0.000
5 I 0.254 0.254 0.509
6 I 0.254 0.746 0.000
7 I 0.255 0.255 0.000
8 I 0.745 0.745 0.000
9 I 0.746 0.254 0.000
10 I 0.746 0.746 0.491



# 6
Computed, not measured: a geometry-optimized CeMg2Au2 structure at the PBE level of DFT.

Properties
ΔH_f (0 K)	-0.521	eV per atom
final energy	-3.6562	eV/atom
spin magnetization	1.0	μB per formula unit
distance to the lowest polymorph of the same formula	3.7	kJ per mole of atoms
density of states at the Fermi level	1.910	states/eV/atom

a b c (Å): 4.182 4.182 6.536
angles (deg): 90.00 90.00 90.00
Atoms (fractional coordinates):
1 Ce 0.000 0.000 0.000
2 Mg 0.000 0.500 0.500
3 Mg 0.500 0.000 0.500
4 Au 0.500 0.500 0.214
5 Au 0.500 0.500 0.786



# 7
Computed, not measured: a geometry-optimized AcTbHgIr structure at the PBE level of DFT.

Properties
ΔH_f (0 K)	-0.579	eV per atom
final energy	-5.0542	eV/atom
spin magnetization	0.0	μB per formula unit
distance to the lowest polymorph of the same formula	0.0	kJ per mole of atoms
density of states at the Fermi level	0.661	states/eV/atom

a b c (Å): 8.108 8.108 8.108
angles (deg): 30.42 30.42 30.42
Atoms (fractional coordinates):
1 Ac 0.000 0.000 0.000
2 Tb 0.798 0.798 0.798
3 Hg 0.224 0.224 0.224
4 Ir 0.404 0.404 0.404



# 8
Computed, not measured: a geometry-optimized LaIn2CoAg structure at the PBE level of DFT.

Properties
ΔH_f (0 K)	-0.198	eV per atom
final energy	-4.2704	eV/atom
spin magnetization	0.0	μB per formula unit
density of states at the Fermi level	0.499	states/eV/atom

a b c (Å): 5.009 5.009 5.014
angles (deg): 90.00 90.00 90.00
Atoms (fractional coordinates):
1 La 0.000 0.000 0.000
2 In 0.000 0.500 0.500
3 In 0.500 0.000 0.500
4 Co 0.000 0.000 0.500
5 Ag 0.500 0.500 0.000



# 9
Computed, not measured: a geometry-optimized SrTcRh structure at the PBE level of DFT.

Properties
ΔH_f (0 K)	0.132	eV per atom
final energy	-6.3342	eV/atom
spin magnetization	0.0	μB per formula unit
distance to the lowest polymorph of the same formula	4.0	kJ per mole of atoms
density of states at the Fermi level	0.956	states/eV/atom

a b c (Å): 4.604 4.604 6.747
angles (deg): 90.00 90.00 90.00
Atoms (fractional coordinates):
1 Sr 0.250 0.250 0.153
2 Sr 0.750 0.750 0.847
3 Tc 0.250 0.750 0.500
4 Tc 0.750 0.250 0.500
5 Rh 0.250 0.250 0.645
6 Rh 0.750 0.750 0.355



# 10
Computed, not measured: a geometry-optimized MnP2Pb structure at the PBE level of DFT.

Properties
ΔH_f (0 K)	0.398	eV per atom
final energy	-5.5269	eV/atom
spin magnetization	4.3	μB per formula unit
density of states at the Fermi level	0.581	states/eV/atom

a b c (Å): 5.505 5.505 5.505
angles (deg): 146.03 121.65 69.26
Atoms (fractional coordinates):
1 Mn 0.000 0.000 0.000
2 P 0.596 0.596 0.000
3 P 0.776 0.276 0.500
4 Pb 0.295 0.795 0.500



# 11
Computed, not measured: a geometry-optimized La4CoPd structure at the PBE level of DFT.

Properties
ΔH_f (0 K)	-0.322	eV per atom
final energy	-5.6571	eV/atom
spin magnetization	0.0	μB per formula unit
distance to the lowest polymorph of the same formula	0.0	kJ per mole of atoms
density of states at the Fermi level	1.076	states/eV/atom

a b c (Å): 7.553 7.553 6.530
angles (deg): 97.03 97.03 109.49
Atoms (fractional coordinates):
1 La 0.061 0.740 0.978
2 La 0.228 0.398 0.565
3 La 0.260 0.939 0.522
4 La 0.398 0.228 0.065
5 La 0.602 0.772 0.935
6 La 0.740 0.061 0.478
7 La 0.772 0.602 0.435
8 La 0.939 0.260 0.022
9 Co 0.003 0.997 0.250
10 Co 0.997 0.003 0.750
11 Pd 0.375 0.625 0.250
12 Pd 0.625 0.375 0.750



# 12
Computed, not measured: a geometry-optimized NaSnI2F structure at the PBE level of DFT.

Properties
E_form (uncorrected)	-5.98	eV/f.u.
final energy	-3.2556	eV/atom
spin magnetization	0.0	μB per formula unit

a b c (Å): 6.304 6.304 4.545
angles (deg): 90.00 90.00 90.00
Atoms (fractional coordinates):
1 Na 0.000 0.000 0.000
2 Sn 0.500 0.500 0.500
3 I 0.000 0.500 0.500
4 I 0.500 0.000 0.500
5 F 0.500 0.500 0.000



# 13
Computed, not measured: a geometry-optimized TlHg2GeO4 structure at the PBE level of DFT.

Properties
E_form (uncorrected)	-6.24	eV/f.u.
final energy	-4.2076	eV/atom
spin magnetization	0.0	μB per formula unit
density of states at the Fermi level	0.243	states/eV/atom

a b c (Å): 5.732 5.732 5.732
angles (deg): 117.14 116.06 96.01
Atoms (fractional coordinates):
1 Tl 0.000 0.000 0.000
2 Hg 0.233 0.733 0.500
3 Hg 0.767 0.267 0.500
4 Ge 0.500 0.500 0.000
5 O 0.194 0.190 0.653
6 O 0.462 0.810 0.004
7 O 0.538 0.542 0.347
8 O 0.806 0.458 0.996